Record 1
NaAlSnMo2: optimized geometry, PBE.

The structure in POSCAR format:
```
NaAlSnMo2
1.0
4.721 0.000 0.000
0.000 4.721 0.000
0.000 0.000 5.122
Na Al Sn Mo
1 1 1 2
direct
0.000 0.000 0.000
0.500 0.500 0.500
0.500 0.500 0.000
0.000 0.500 0.500
0.500 0.000 0.500
```

Properties
Its formation energy is 1337.8 meV/atom. Its calculated total energy is -4.808 eV/atom.

---

Record 2
HfThSn2: optimized geometry, PBE.

The structure in POSCAR format:
```
HfThSn2
1.0
3.300 0.000 0.000
-1.650 2.858 0.000
0.000 0.000 34.705
Hf Th Sn
3 3 6
direct
0.000 0.000 0.000
0.333 0.667 0.667
0.667 0.333 0.333
0.000 0.000 0.500
0.333 0.667 0.167
0.667 0.333 0.833
0.000 0.000 0.405
0.000 0.000 0.595
0.333 0.667 0.072
0.333 0.667 0.262
0.667 0.333 0.738
0.667 0.333 0.928
```

Properties
Its formation energy is 35.9 meV/atom. Its calculated total energy is -6.309 eV/atom. The value obtained for the polymorph energy (0 for the lowest one) is 377 meV/atom.

---

Record 3
CeSbRh: optimized geometry, PBE.

The structure in POSCAR format:
```
CeSbRh
1.0
7.322 0.000 0.000
0.000 4.655 0.000
0.000 0.000 7.824
Ce Sb Rh
4 4 4
direct
0.014 0.250 0.198
0.486 0.750 0.698
0.514 0.250 0.302
0.986 0.750 0.802
0.185 0.250 0.592
0.315 0.750 0.092
0.685 0.250 0.908
0.815 0.750 0.408
0.215 0.750 0.424
0.285 0.250 0.924
0.715 0.750 0.076
0.785 0.250 0.576
```

Properties
Its calculated total energy is -6.788 eV/atom. The calculation puts the formation energy from raw total energies at -0.985 eV/atom.

---

Record 4
Nd3Mg3Zn2: optimized geometry, PBE.

The structure in POSCAR format:
```
Nd3Mg3Zn2
1.0
8.001 0.000 0.000
-4.001 6.929 0.000
0.000 0.000 3.862
Nd Mg Zn
3 3 2
direct
0.000 0.411 0.000
0.411 0.000 0.000
0.589 0.589 0.000
0.000 0.769 0.500
0.231 0.231 0.500
0.769 0.000 0.500
0.333 0.667 0.500
0.667 0.333 0.500
```

Properties
Its formation energy is -144.8 meV/atom. Its calculated total energy is -2.849 eV/atom. The value obtained for the polymorph energy (0 for the lowest one) is 8 meV/atom.

---

Record 5
CaLaS2N: optimized geometry, PBE.

The structure in POSCAR format:
```
CaLaS2N
1.0
5.169 0.000 0.000
0.000 5.169 0.000
0.000 0.000 4.356
Ca La S N
1 1 2 1
direct
0.000 0.000 0.000
0.500 0.500 0.500
0.000 0.500 0.000
0.500 0.000 0.000
0.000 0.000 0.500
```

Properties
Its calculated total energy is -5.316 eV/atom. The calculation puts the formation energy from raw total energies at -0.614 eV/atom. The value obtained for the polymorph energy (0 for the lowest one) is 54 meV/atom.

---

Record 6
SiMo2H2: optimized geometry, PBE.

The structure in POSCAR format:
```
SiMo2H2
1.0
3.091 0.000 0.000
0.000 3.091 0.000
0.000 0.000 10.327
Si Mo H
2 4 4
direct
0.000 0.000 0.000
0.500 0.500 0.500
0.000 0.000 0.358
0.000 0.000 0.642
0.500 0.500 0.142
0.500 0.500 0.858
0.000 0.500 0.250
0.000 0.500 0.750
0.500 0.000 0.250
0.500 0.000 0.750
```

Properties
Its calculated total energy is -6.864 eV/atom.

---

Record 7
MnReCl2: optimized geometry, PBE.

The structure in POSCAR format:
```
MnReCl2
1.0
2.912 0.000 0.000
0.000 2.912 0.000
0.000 0.000 10.056
Mn Re Cl
1 1 2
direct
0.000 0.000 0.000
0.000 0.000 0.500
0.500 0.500 0.158
0.500 0.500 0.842
```

Properties
Its calculated total energy is -5.516 eV/atom. The calculation puts the formation energy from raw total energies at 0.811 eV/atom. The value obtained for the polymorph energy (0 for the lowest one) is 929 meV/atom.

---

Record 8
NbHgI4: optimized geometry, PBE.

The structure in POSCAR format:
```
NbHgI4
1.0
6.399 -6.243 0.000
6.399 6.243 0.000
-2.357 0.000 6.146
Nb Hg I
2 2 8
direct
0.000 0.000 0.250
0.000 0.000 0.750
0.498 0.502 0.750
0.502 0.498 0.250
0.104 0.740 0.446
0.115 0.264 0.132
0.260 0.896 0.054
0.264 0.115 0.632
0.736 0.885 0.368
0.740 0.104 0.946
0.885 0.736 0.868
0.896 0.260 0.554
```

Properties
Its calculated total energy is -3.058 eV/atom. The calculation puts the formation energy from raw total energies at -0.296 eV/atom.

---

Record 9
Sr2ZnCd4Hg3: optimized geometry, PBE.

The structure in POSCAR format:
```
Sr2ZnCd4Hg3
1.0
4.589 0.000 0.000
0.000 4.589 0.000
0.000 0.000 12.775
Sr Zn Cd Hg
2 1 4 3
direct
0.000 0.500 0.247
0.500 0.000 0.753
0.500 0.500 0.000
0.000 0.000 0.500
0.000 0.500 0.867
0.500 0.000 0.133
0.500 0.500 0.500
0.000 0.000 0.000
0.000 0.500 0.647
0.500 0.000 0.353
```

Properties
Its formation energy is -271.6 meV/atom. Its calculated total energy is -1.192 eV/atom.

---

Record 10
Pm3BiH2: optimized geometry, PBE.

The structure in POSCAR format:
```
Pm3BiH2
1.0
11.405 -2.054 0.000
11.405 2.054 0.000
-1.574 0.000 6.209
Pm Bi H
6 2 4
direct
0.040 0.040 0.280
0.230 0.230 0.210
0.399 0.399 0.146
0.601 0.601 0.854
0.770 0.770 0.790
0.960 0.960 0.720
0.350 0.350 0.590
0.650 0.650 0.410
0.059 0.059 0.933
0.292 0.292 0.980
0.708 0.708 0.020
0.941 0.941 0.067
```

Properties
Its calculated total energy is -4.660 eV/atom.

---

Record 11
YMg2PaN4: optimized geometry, PBE.

The structure in POSCAR format:
```
YMg2PaN4
1.0
5.561 0.000 0.000
0.000 3.475 0.000
-1.968 0.000 5.560
Y Mg Pa N
1 2 1 4
direct
0.000 0.000 0.000
0.500 0.000 0.500
0.500 0.500 0.000
0.000 0.500 0.500
0.240 0.500 0.259
0.242 0.000 0.736
0.758 0.000 0.264
0.760 0.500 0.741
```

Properties
Its calculated total energy is -7.846 eV/atom. The calculation puts the formation energy from raw total energies at -1.290 eV/atom.

---

Record 12
Th2IrS: optimized geometry, PBE.

The structure in POSCAR format:
```
Th2IrS
1.0
4.086 0.000 0.000
-2.043 3.538 0.000
0.000 0.000 21.343
Th Ir S
6 3 3
direct
0.000 0.000 0.243
0.000 0.000 0.757
0.333 0.667 0.423
0.333 0.667 0.910
0.667 0.333 0.090
0.667 0.333 0.577
0.000 0.000 0.500
0.333 0.667 0.167
0.667 0.333 0.833
0.000 0.000 0.000
0.333 0.667 0.667
0.667 0.333 0.333
```

Properties
Its calculated total energy is -8.327 eV/atom. The calculation puts the formation energy from raw total energies at -1.370 eV/atom. The value obtained for the polymorph energy (0 for the lowest one) is 0 meV/atom.

---

> The highest calculated total energy belongs to which entry?

Sr2ZnCd4Hg3